VASP calculation (GGA-PBE) on AlTeHI2 after structural relaxation.

Unit cell a=5.664 b=5.664 c=5.326 alpha=90.00 beta=90.00 gamma=90.00
Positions (direct):
1 Al 0.000 0.000 0.000
2 Te 0.000 0.000 0.500
3 H 0.500 0.500 0.500
4 I 0.000 0.500 0.000
5 I 0.500 0.000 0.000

Values from the calculation:
The value obtained for the energy above the most stable polymorph in this dataset is 0.031 eV per atom. As for the magnetization: 0.93 μB per cell. Its final energy is -11.3 eV/cell.